A relaxed UTcNiO6 crystal. Source: the Alexandria database, functional GGA+U.

Calculated values
The total energy comes out at -0.293 hartree per atom. The symmetry is P-31c. The crystal system is trigonal. The value obtained for the magnetic moment is 10.002 μB per cell. Its volume is 214.4 Å³/cell.

abc: 5.2283 5.2283 9.0551
angles: 90.00 90.00 120.00
Last column: magnetic moment on the atom in μB.
Atoms (fractional coordinates):
U 0.6667 0.3333 0.2500  0.42
U 0.3333 0.6667 0.7500  0.42
Tc 0.0000 0.0000 0.0000  2.19
Tc 0.0000 0.0000 0.5000  2.19
Ni 0.3333 0.6667 0.2500  1.77
Ni 0.6667 0.3333 0.7500  1.77
O 0.6771 0.6785 0.1258  0.06
O 0.0014 0.3229 0.1258  0.06
O 0.3229 0.0014 0.6258  0.06
O 0.9986 0.6771 0.8742  0.06
O 0.3215 0.3229 0.3742  0.06
O 0.0014 0.6785 0.3742  0.06
O 0.6785 0.0014 0.8742  0.06
O 0.6771 0.9986 0.3742  0.06
O 0.9986 0.3215 0.6258  0.06
O 0.3215 0.9986 0.1258  0.06
O 0.6785 0.6771 0.6258  0.06
O 0.3229 0.3215 0.8742  0.06